# PBE+U MgCo2AsO6, optimized geometry
# D(E_F) = 0.0 states/eV per cell
# Total magnetization = 2.96 μB/f.u.
# Total energy = -6.0360 eV per atom
data_MgCo2AsO6
_chemical_formula_sum 'Mg3 Co6 As3 O18'
_space_group_name_H-M_alt 'R 3'
_space_group_IT_number 146
_space_group_name_Hall 'R 3'
_cell_length_a 5.0392
_cell_length_b 5.0392
_cell_length_c 13.3993
_cell_angle_alpha 90.00
_cell_angle_beta 90.00
_cell_angle_gamma 120.00
loop_
_atom_site_label
_atom_site_type_symbol
_atom_site_fract_x
_atom_site_fract_y
_atom_site_fract_z
Mg1 Mg 0.0000 0.0000 0.0000
Co1 Co 0.0000 0.0000 0.3023
Co2 Co 0.0000 0.0000 0.7888
As1 As 0.0000 0.0000 0.4991
O1 O 0.0019 0.3497 0.2300
O2 O 0.0594 0.6756 0.0667